(1)
Density functional theory data (GGA-PBE) for an optimized crystal structure of CePmSmLu.

Values from the calculation:
Formation energy from the elements, eV/atom: 0.19
Total DFT energy (no corrections), eV per formula unit: -19.149

Unit cell a=5.6972 b=5.6972 c=5.6972 alpha=60.00 beta=60.00 gamma=60.00
With the nearest neighbours (Å) after each atom.
Element x y z (fractional)
Ce  0.0000  0.0000  0.0000  4 Pm 3.49, 4 Sm 3.49
Pm  0.7500  0.7500  0.7500  4 Ce 3.49, 4 Lu 3.49
Sm  0.2500  0.2500  0.2500  4 Ce 3.49, 4 Lu 3.49
Lu  0.5000  0.5000  0.5000  4 Pm 3.49, 4 Sm 3.49



(2)
Density functional theory data (GGA-PBE) for an optimized crystal structure of Ac2In6Ir.

Values from the calculation:
Formation energy from the elements, eV/atom: -0.28
Total DFT energy (no corrections), eV per formula unit: -36.024
Polymorph energy (0 for the lowest one), meV/atom: 90

Unit cell a=4.0832 b=13.8323 c=13.8323 alpha=19.54 beta=90.00 gamma=90.00
With the nearest neighbours (Å) after each atom.
Element x y z (fractional)
Ac  0.0000  0.0000  0.0000  4 Ir 3.25, 6 In 3.51-3.59
Ac  0.0000  0.3182  0.3182  10 In 3.45-3.77
In  0.0000  0.6053  0.6053  2 Ir 2.82, 5 In 3.02-3.11
In  0.0000  0.7160  0.7160  5 In 3.02-3.11
In  0.5000  0.1047  0.1047  5 In 2.91-3.11, 2 Ir 3.04
In  0.5000  0.2116  0.2116  5 In 2.91-3.11
In  0.5000  0.4345  0.4345  1 Ir 2.71, 2 In 2.88
In  0.5000  0.8730  0.8730  2 In 2.88
Ir  0.5000  0.5340  0.5340  3 In 2.71-2.82



(3)
Density functional theory data (GGA-PBE) for an optimized crystal structure of Tl12Ag3Se5.

Values from the calculation:
Total DFT energy (no corrections), eV per formula unit: -56.279

Unit cell a=15.4755 b=15.4755 c=15.4755 alpha=109.47 beta=109.47 gamma=109.47
With the nearest neighbours (Å) after each atom.
Element x y z (fractional)
Tl  0.0572  0.2258  0.1436  2 Se 2.90-3.06, 1 Ag 3.23
Tl  0.0572  0.3314  0.9137  2 Se 2.90-3.06, 1 Ag 3.23
Tl  0.0822  0.7258  0.6686  2 Se 2.90-3.06, 1 Ag 3.23
Tl  0.0822  0.8564  0.4137  2 Se 2.90-3.06, 1 Ag 3.23
Tl  0.0863  0.6436  0.4178  2 Se 2.90-3.06, 1 Ag 3.23
Tl  0.0863  0.9428  0.6686  2 Se 2.90-3.06, 1 Ag 3.23
Tl  0.1436  0.0572  0.2258  2 Se 2.90-3.06, 1 Ag 3.23
Tl  0.1436  0.5863  0.9178  2 Se 2.90-3.06, 1 Ag 3.23
Tl  0.1686  0.2258  0.5822  2 Se 2.90-3.06, 1 Ag 3.23
Tl  0.1686  0.4428  0.5863  2 Se 2.90-3.06, 1 Ag 3.23
Tl  0.2258  0.1436  0.0572  2 Se 2.90-3.06, 1 Ag 3.23
Tl  0.2258  0.5822  0.1686  2 Se 2.90-3.06, 1 Ag 3.23
Tl  0.2742  0.3314  0.9178  2 Se 2.90-3.06, 1 Ag 3.23
Tl  0.2742  0.4428  0.3564  2 Se 2.90-3.06, 1 Ag 3.23
Tl  0.3314  0.9137  0.0572  2 Se 2.90-3.06, 1 Ag 3.23
Tl  0.3314  0.9178  0.2742  2 Se 2.90-3.06, 1 Ag 3.23
Tl  0.3564  0.2742  0.4428  2 Se 2.90-3.06, 1 Ag 3.23
Tl  0.3564  0.5822  0.9137  2 Se 2.90-3.06, 1 Ag 3.23
Tl  0.4137  0.0822  0.8564  2 Se 2.90-3.06, 1 Ag 3.23
Tl  0.4137  0.8314  0.5572  2 Se 2.90-3.06, 1 Ag 3.23
Tl  0.4178  0.0863  0.6436  2 Se 2.90-3.06, 1 Ag 3.23
Tl  0.4178  0.8314  0.7742  2 Se 2.90-3.06, 1 Ag 3.23
Tl  0.4428  0.3564  0.2742  2 Se 2.90-3.06, 1 Ag 3.23
Tl  0.4428  0.5863  0.1686  2 Se 2.90-3.06, 1 Ag 3.23
Tl  0.5572  0.4137  0.8314  2 Se 2.90-3.06, 1 Ag 3.23
Tl  0.5572  0.6436  0.7258  2 Se 2.90-3.06, 1 Ag 3.23
Tl  0.5822  0.1686  0.2258  2 Se 2.90-3.06, 1 Ag 3.23
Tl  0.5822  0.9137  0.3564  2 Se 2.90-3.06, 1 Ag 3.23
Tl  0.5863  0.1686  0.4428  2 Se 2.90-3.06, 1 Ag 3.23
Tl  0.5863  0.9178  0.1436  2 Se 2.90-3.06, 1 Ag 3.23
Tl  0.6436  0.4178  0.0863  2 Se 2.90-3.06, 1 Ag 3.23
Tl  0.6436  0.7258  0.5572  2 Se 2.90-3.06, 1 Ag 3.23
Tl  0.6686  0.0822  0.7258  2 Se 2.90-3.06, 1 Ag 3.23
Tl  0.6686  0.0863  0.9428  2 Se 2.90-3.06, 1 Ag 3.23
Tl  0.7258  0.5572  0.6436  2 Se 2.90-3.06, 1 Ag 3.23
Tl  0.7258  0.6686  0.0822  2 Se 2.90-3.06, 1 Ag 3.23
Tl  0.7742  0.4178  0.8314  2 Se 2.90-3.06, 1 Ag 3.23
Tl  0.7742  0.8564  0.9428  2 Se 2.90-3.06, 1 Ag 3.23
Tl  0.8314  0.5572  0.4137  2 Se 2.90-3.06, 1 Ag 3.23
Tl  0.8314  0.7742  0.4178  2 Se 2.90-3.06, 1 Ag 3.23
Tl  0.8564  0.4137  0.0822  2 Se 2.90-3.06, 1 Ag 3.23
Tl  0.8564  0.9428  0.7742  2 Se 2.90-3.06, 1 Ag 3.23
Tl  0.9137  0.0572  0.3314  2 Se 2.90-3.06, 1 Ag 3.23
Tl  0.9137  0.3564  0.5822  2 Se 2.90-3.06, 1 Ag 3.23
Tl  0.9178  0.1436  0.5863  2 Se 2.90-3.06, 1 Ag 3.23
Tl  0.9178  0.2742  0.3314  2 Se 2.90-3.06, 1 Ag 3.23
Tl  0.9428  0.6686  0.0863  2 Se 2.90-3.06, 1 Ag 3.23
Tl  0.9428  0.7742  0.8564  2 Se 2.90-3.06, 1 Ag 3.23
Ag  0.1250  0.2500  0.3750  8 Tl 3.23-3.28
Ag  0.1250  0.3750  0.7500  8 Tl 3.23-3.28
Ag  0.2500  0.3750  0.1250  8 Tl 3.23-3.28
Ag  0.2500  0.8750  0.6250  8 Tl 3.23-3.28
Ag  0.3750  0.1250  0.2500  8 Tl 3.23-3.28
Ag  0.3750  0.7500  0.1250  8 Tl 3.23-3.28
Ag  0.6250  0.2500  0.8750  8 Tl 3.23-3.28
Ag  0.6250  0.8750  0.7500  8 Tl 3.23-3.28
Ag  0.7500  0.1250  0.3750  8 Tl 3.23-3.28
Ag  0.7500  0.6250  0.8750  8 Tl 3.23-3.28
Ag  0.8750  0.6250  0.2500  8 Tl 3.23-3.28
Ag  0.8750  0.7500  0.6250  8 Tl 3.23-3.28
Se  0.0000  0.0000  0.0000  6 Tl 3.06
Se  0.0000  0.0000  0.5000  6 Tl 3.06
Se  0.0000  0.5000  0.0000  6 Tl 3.06
Se  0.0000  0.5000  0.5000  6 Tl 3.06
Se  0.1250  0.7500  0.8750  4 Tl 2.90
Se  0.1250  0.8750  0.2500  4 Tl 2.90
Se  0.2500  0.1250  0.8750  4 Tl 2.90
Se  0.2500  0.6250  0.3750  4 Tl 2.90
Se  0.3750  0.2500  0.6250  4 Tl 2.90
Se  0.3750  0.6250  0.7500  4 Tl 2.90
Se  0.5000  0.0000  0.0000  6 Tl 3.06
Se  0.5000  0.0000  0.5000  6 Tl 3.06
Se  0.5000  0.5000  0.0000  6 Tl 3.06
Se  0.5000  0.5000  0.5000  6 Tl 3.06
Se  0.6250  0.3750  0.2500  4 Tl 2.90
Se  0.6250  0.7500  0.3750  4 Tl 2.90
Se  0.7500  0.3750  0.6250  4 Tl 2.90
Se  0.7500  0.8750  0.1250  4 Tl 2.90
Se  0.8750  0.1250  0.7500  4 Tl 2.90
Se  0.8750  0.2500  0.1250  4 Tl 2.90



(4)
Density functional theory data (GGA-PBE) for an optimized crystal structure of Pm2Dy3Ho7.

Values from the calculation:
Formation energy from the elements, eV/atom: 0.32
Total DFT energy (no corrections), eV per formula unit: -51.513
Polymorph energy (0 for the lowest one), meV/atom: 208

Unit cell a=6.1217 b=5.4850 c=12.1375 alpha=90.00 beta=91.97 gamma=90.00
With the nearest neighbours (Å) after each atom.
Element x y z (fractional)
Pm  0.0986  0.0000  0.2809  6 Ho 3.11-3.42, 1 Dy 3.44
Pm  0.9014  0.0000  0.7191  6 Ho 3.11-3.42, 1 Dy 3.44
Dy  0.0000  0.0000  0.0000  6 Ho 3.32-3.50, 2 Pm 3.44
Dy  0.4490  0.5000  0.3393  8 Ho 3.50-3.91, 2 Pm 3.54
Dy  0.5510  0.5000  0.6607  8 Ho 3.50-3.91, 2 Pm 3.54
Ho  0.0614  0.5000  0.8240  2 Pm 3.16, 3 Ho 3.37-3.51, 2 Dy 3.50
Ho  0.2669  0.0000  0.5472  2 Ho 3.11-3.43, 2 Pm 3.11-3.36
Ho  0.4190  0.0000  0.8335  2 Pm 3.31-3.42, 3 Dy 3.32-3.56, 5 Ho 3.43-3.57
Ho  0.5000  0.5000  0.0000  6 Ho 3.37-3.43
Ho  0.5810  0.0000  0.1665  2 Pm 3.31-3.42, 3 Dy 3.32-3.56, 5 Ho 3.43-3.57
Ho  0.7331  0.0000  0.4528  2 Ho 3.11-3.43, 2 Pm 3.11-3.36
Ho  0.9386  0.5000  0.1760  2 Pm 3.16, 3 Ho 3.37-3.51, 2 Dy 3.50



(5)
Density functional theory data (GGA-PBE) for an optimized crystal structure of Dy2Y2AlGa4.

Values from the calculation:
Formation energy from the elements, eV/atom: -0.26
Total DFT energy (no corrections), eV per formula unit: -40.319

Unit cell a=6.6199 b=6.6199 c=6.6199 alpha=116.37 beta=116.37 gamma=96.41
With the nearest neighbours (Å) after each atom.
Element x y z (fractional)
Dy  0.1870  0.1870  0.0000  1 Al 2.76, 4 Ga 2.97
Dy  0.8130  0.8130  0.0000  1 Al 2.76, 4 Ga 2.97
Y  0.2500  0.7500  0.5000  8 Ga 3.31, 4 Dy 3.53
Y  0.7500  0.2500  0.5000  8 Ga 3.31, 4 Dy 3.53
Al  0.5000  0.5000  0.0000  4 Ga 2.47, 2 Dy 2.76
Ga  0.2499  0.2499  0.4997  1 Al 2.47
Ga  0.2499  0.7501  0.0000  1 Al 2.47
Ga  0.7501  0.2499  0.0000  1 Al 2.47
Ga  0.7501  0.7501  0.5003  1 Al 2.47



(6)
Density functional theory data (GGA-PBE) for an optimized crystal structure of AcNdSiCl.

Values from the calculation:
Total DFT energy (no corrections), eV per formula unit: -19.543

Unit cell a=6.1080 b=5.1541 c=5.1541 alpha=59.23 beta=90.00 gamma=90.00
With the nearest neighbours (Å) after each atom.
Element x y z (fractional)
Ac  0.0000  0.0000  0.0000  3 Cl 2.96-2.97, 2 Si 3.05
Nd  0.5000  0.3301  0.3301  3 Si 2.96-2.97, 2 Cl 3.05
Si  0.5000  0.9990  0.9990  3 Nd 2.96-2.97, 2 Ac 3.05
Cl  0.0000  0.3305  0.3305  3 Ac 2.96-2.97, 2 Nd 3.05